No. 1
Density functional theory data (PBE) for crystalline Cd2CoSe at its relaxed geometry.

Results
The value obtained for the formation energy without anion corrections is -0.3 kJ/mol of atoms.

Lattice parameters (Å, degrees): 5.0160 5.0160 6.1892 70.14 70.14 35.55
With the nearest neighbours (Å) after each atom.
Fractional positions:
Cd 0.0037 0.0037 0.9619  2 Co 2.73, 1 Se 2.80
Cd 0.8017 0.8017 0.6704  3 Co 2.65-2.72
Co 0.5516 0.5516 0.5774  2 Se 2.27
Se 0.1430 0.1430 0.2903  2 Co 2.27



No. 2
Density functional theory data (PBE) for crystalline Ca2HoHfBi4 at its relaxed geometry.

Results
As for the formation enthalpy at 0 K: -4.83 eV per formula unit.

Lattice parameters (Å, degrees): 4.3820 7.6388 7.9674 108.35 90.00 90.00
With the nearest neighbours (Å) after each atom.
Fractional positions:
Ca 0.5000 0.0000 0.5000  6 Bi 3.20-3.21
Ca 0.0000 0.5000 0.5000  6 Bi 3.30
Ho 0.5000 0.5000 0.0000  6 Bi 3.13
Hf 0.0000 0.0000 0.0000  6 Bi 3.03-3.04
Bi 0.5000 0.2321 0.2280  2 Hf 3.04, 1 Ho 3.13, 3 Ca 3.20-3.30
Bi 0.5000 0.7679 0.7720  2 Hf 3.04, 1 Ho 3.13, 3 Ca 3.20-3.30
Bi 0.0000 0.2444 0.7658  1 Hf 3.03, 2 Ho 3.13, 3 Ca 3.21-3.30
Bi 0.0000 0.7556 0.2342  1 Hf 3.03, 2 Ho 3.13, 3 Ca 3.21-3.30



No. 3
Density functional theory data (PBE) for crystalline Dy4BiTe at its relaxed geometry.

Results
The value obtained for the formation energy without anion corrections is -54.9 kJ/mol of atoms.

Lattice parameters (Å, degrees): 7.0217 7.6656 8.7218 107.25 104.27 110.79
With the nearest neighbours (Å) after each atom.
Fractional positions:
Dy 0.3153 0.8676 0.5641  1 Te 3.07, 2 Bi 3.23-3.43, 1 Dy 3.34
Dy 0.0326 0.7909 0.1337  2 Te 3.01-3.03, 2 Bi 3.13-3.26
Dy 0.2512 0.3036 0.4359  1 Te 3.07, 2 Bi 3.23-3.43, 1 Dy 3.34
Dy 0.3989 0.6572 0.8663  2 Te 3.01-3.03, 2 Bi 3.13-3.26
Dy 0.6847 0.1324 0.4359  1 Te 3.07, 2 Bi 3.23-3.43, 1 Dy 3.34
Dy 0.7488 0.6964 0.5641  1 Te 3.07, 2 Bi 3.23-3.43, 1 Dy 3.34
Dy 0.9674 0.2091 0.8663  2 Te 3.01-3.03, 2 Bi 3.13-3.26
Dy 0.6011 0.3428 0.1337  2 Te 3.01-3.03, 2 Bi 3.13-3.26
Bi 0.3591 0.6091 0.2183  8 Dy 3.13-3.43
Bi 0.6409 0.3909 0.7817  8 Dy 3.13-3.43
Te 0.8088 0.0588 0.1176  6 Dy 3.01-3.07
Te 0.1912 0.9412 0.8824  6 Dy 3.01-3.07



No. 4
Density functional theory data (PBE) for crystalline Ta4Re3Os at its relaxed geometry.

Results
As for the formation enthalpy at 0 K: -3.19 eV per formula unit.

Lattice parameters (Å, degrees): 3.2019 4.5188 9.0337 90.00 90.00 90.00
With the nearest neighbours (Å) after each atom.
Fractional positions:
Re 0.5000 0.0000 0.2478  8 Ta 2.75-2.78
Re 0.5000 0.5000 0.5000  8 Ta 2.75-2.77
Re 0.5000 0.0000 0.7522  8 Ta 2.75-2.78
Os 0.5000 0.5000 0.0000  8 Ta 2.77-2.79
Ta 0.0000 0.0000 0.5000  8 Re 2.77-2.78
Ta 0.0000 0.5000 0.7473  6 Re 2.75-2.77, 2 Os 2.79
Ta 0.0000 0.0000 0.0000  4 Re 2.75, 4 Os 2.77
Ta 0.0000 0.5000 0.2527  6 Re 2.75-2.77, 2 Os 2.79



No. 5
Density functional theory data (PBE) for crystalline Ta3TiCd at its relaxed geometry.

Results
As for the formation enthalpy at 0 K: 6.78 eV per formula unit.

Lattice parameters (Å, degrees): 4.7342 4.7342 4.7342 90.00 90.00 90.00
With the nearest neighbours (Å) after each atom.
Fractional positions:
Cd 0.5000 0.5000 0.5000  12 Ta 3.35
Ti 0.0000 0.0000 0.0000  6 Ta 2.37
Ta 0.0000 0.5000 0.0000  2 Ti 2.37
Ta 0.0000 0.0000 0.5000  2 Ti 2.37
Ta 0.5000 0.0000 0.0000  2 Ti 2.37



No. 6
Density functional theory data (PBE) for crystalline Sr2Ac4Pr at its relaxed geometry.

Results
As for the formation enthalpy at 0 K: 0.40 eV per formula unit.

Lattice parameters (Å, degrees): 3.9605 4.0027 20.5607 95.59 90.00 90.00
With the nearest neighbours (Å) after each atom.
Fractional positions:
Sr 0.5000 0.2060 0.4119  6 Sr 3.96-4.12, 4 Ac 4.16
Sr 0.5000 0.7940 0.5881  6 Sr 3.96-4.12, 4 Ac 4.16
Ac 0.5000 0.0640 0.1280  4 Pr 3.85, 8 Ac 3.94-4.00
Ac 0.0000 0.3688 0.7376  8 Ac 3.94-4.00, 4 Sr 4.16
Ac 0.5000 0.9360 0.8720  4 Pr 3.85, 8 Ac 3.94-4.00
Ac 0.0000 0.6312 0.2624  8 Ac 3.94-4.00, 4 Sr 4.16
Pr 0.0000 0.5000 0.0000  8 Ac 3.85, 4 Pr 3.96-4.00



No. 7
Density functional theory data (PBE) for crystalline ReSiBi3 at its relaxed geometry.

Results
The value obtained for the formation energy without anion corrections is 104.5 kJ/mol of atoms.

Lattice parameters (Å, degrees): 5.3122 5.3122 5.3122 90.00 90.00 90.00
With the nearest neighbours (Å) after each atom.
Fractional positions:
Re 0.0000 0.0000 0.0000  6 Bi 2.66
Si 0.5000 0.5000 0.5000  12 Bi 3.76
Bi 0.0000 0.5000 0.0000  2 Re 2.66
Bi 0.0000 0.0000 0.5000  2 Re 2.66
Bi 0.5000 0.0000 0.0000  2 Re 2.66



No. 8
Density functional theory data (PBE) for crystalline MnAlBr2 at its relaxed geometry.

Results
The value obtained for the formation energy without anion corrections is 6.0 kJ/mol of atoms.

Lattice parameters (Å, degrees): 3.3339 3.3339 9.0632 90.00 90.00 90.00
With the nearest neighbours (Å) after each atom.
Fractional positions:
Mn 0.5000 0.5000 0.2500  8 Br 2.89
Al 0.5000 0.5000 0.7500  4 Al 3.33, 8 Br 3.71
Br 0.0000 0.0000 0.0664  4 Mn 2.89
Br 0.0000 0.0000 0.4336  4 Mn 2.89



No. 9
Density functional theory data (PBE) for crystalline RbSeN2 at its relaxed geometry.

Results
The value obtained for the formation energy without anion corrections is 89.3 kJ/mol of atoms.

Lattice parameters (Å, degrees): 7.1040 7.1040 7.1040 37.94 37.94 37.94
With the nearest neighbours (Å) after each atom.
Fractional positions:
Se 0.0000 0.0000 0.0000  2 N 1.72
Rb 0.5000 0.5000 0.5000  6 N 3.10
N 0.9129 0.9129 0.9129  1 Se 1.72
N 0.0871 0.0871 0.0871  1 Se 1.72



No. 10
Density functional theory data (PBE) for crystalline SrZr2SbRh at its relaxed geometry.

Results
The value obtained for the formation energy without anion corrections is 184.8 kJ/mol of atoms.

Lattice parameters (Å, degrees): 5.0584 5.5343 5.0584 90.00 90.00 90.00
With the nearest neighbours (Å) after each atom.
Fractional positions:
Sb 0.0000 0.5000 0.0000  2 Sr 2.77
Rh 0.5000 0.5000 0.5000  4 Sb 3.58, 8 Zr 3.75
Zr 0.0000 0.0000 0.5000  2 Sr 2.53
Zr 0.5000 0.0000 0.0000  2 Sr 2.53
Sr 0.0000 0.0000 0.0000  4 Zr 2.53, 2 Sb 2.77



No. 11
Density functional theory data (PBE) for crystalline LaTa2Os2 at its relaxed geometry.

Results
As for the formation enthalpy at 0 K: -0.25 eV per formula unit.

Lattice parameters (Å, degrees): 7.9798 7.9798 2.9737 90.00 90.00 90.00
With the nearest neighbours (Å) after each atom.
Fractional positions:
La 0.0000 0.0000 0.0000  2 La 2.97, 4 Ta 3.07
La 0.5000 0.5000 0.0000  2 La 2.97, 4 Ta 3.07
Os 0.1431 0.6431 0.5000  6 Ta 2.73-2.83, 2 Os 2.97
Os 0.6431 0.8569 0.5000  6 Ta 2.73-2.83, 2 Os 2.97
Os 0.8569 0.3569 0.5000  6 Ta 2.73-2.83, 2 Os 2.97
Os 0.3569 0.1431 0.5000  6 Ta 2.73-2.83, 2 Os 2.97
Ta 0.3566 0.8566 0.0000  6 Os 2.73-2.83, 2 Ta 2.97
Ta 0.8566 0.6434 0.0000  6 Os 2.73-2.83, 2 Ta 2.97
Ta 0.6434 0.1434 0.0000  6 Os 2.73-2.83, 2 Ta 2.97
Ta 0.1434 0.3566 0.0000  6 Os 2.73-2.83, 2 Ta 2.97



No. 12
Density functional theory data (PBE) for crystalline BeFeSe at its relaxed geometry.

Results
The value obtained for the formation energy without anion corrections is 36.3 kJ/mol of atoms.

Lattice parameters (Å, degrees): 3.8994 3.8994 3.8994 60.00 60.00 60.00
With the nearest neighbours (Å) after each atom.
Fractional positions:
Be 0.0000 0.0000 0.0000  4 Se 2.39
Fe 0.5000 0.5000 0.5000  4 Se 2.39
Se 0.7500 0.7500 0.7500  4 Be 2.39, 4 Fe 2.39



No. 13
Density functional theory data (PBE) for crystalline NaZrFeIr2 at its relaxed geometry.

Results
As for the formation enthalpy at 0 K: 10.24 eV per formula unit.

Lattice parameters (Å, degrees): 4.4670 4.5231 4.4670 90.00 90.00 90.00
With the nearest neighbours (Å) after each atom.
Fractional positions:
Na 0.0000 0.0000 0.0000  4 Ir 2.23, 2 Zr 2.26
Ir 0.0000 0.0000 0.5000  2 Na 2.23
Ir 0.5000 0.0000 0.0000  2 Na 2.23
Fe 0.5000 0.5000 0.5000  4 Zr 3.16, 8 Ir 3.18
Zr 0.0000 0.5000 0.0000  2 Na 2.26